Entry 1:
Li2CdWO after structural relaxation. Source: Alexandria via LeMat-Bulk, functional PBEsol.

Total magnetic moment (μB per atom): 0.888
Formation energy (no corrections) (eV per formula unit): 5.99
Crystal system: tetragonal
Space-group type: No. 123

extended XYZ file:
```
5
Lattice="-1.821 3.073 -1.597 -2.864 -3.139 -2.773 -3.459 -0.122 3.710" Properties=species:S:1:pos:R:3 pbc="T T T"
Li -1.730 -0.061 1.855
Li -1.432 -1.570 -1.387
Cd 0.000 0.000 0.000
W -4.073 -0.094 -0.330
O -0.911 1.537 -0.799
```

=====

Entry 2:
LiCd3Os after structural relaxation. Source: Alexandria via LeMat-Bulk, functional PBEsol.

DFT formation energy (meV/atom): 1062
Total magnetic moment (μB per atom): 0.000
Crystal system: cubic
Space-group type: No. 221

extended XYZ file:
```
5
Lattice="4.421 0.000 0.000 0.000 4.421 0.000 0.000 0.000 4.421" Properties=species:S:1:pos:R:3 pbc="T T T"
Cd 0.000 0.000 2.210
Cd 2.210 0.000 0.000
Cd 0.000 2.210 0.000
Os 2.210 2.210 2.210
Li 0.000 0.000 0.000
```

=====

Entry 3:
LiCd2Os after structural relaxation. Source: Alexandria via LeMat-Bulk, functional PBEsol.

DFT formation energy (meV/atom): 314
Total magnetic moment (μB per atom): 0.000
Crystal system: orthorhombic
Space-group type: No. 25

extended XYZ file:
```
4
Lattice="2.699 0.000 0.000 0.000 4.368 0.000 0.000 0.000 5.622" Properties=species:S:1:pos:R:3 pbc="T T T"
Os 1.349 2.184 4.206
Li 0.000 0.000 2.892
Cd 1.349 2.184 1.479
Cd 0.000 0.000 5.477
```

=====

Entry 4:
LiCd2Os after structural relaxation. Source: Alexandria via LeMat-Bulk, functional PBEsol.

DFT formation energy (meV/atom): 297
Total magnetic moment (μB per atom): 0.000
Crystal system: orthorhombic
Space-group type: No. 35

extended XYZ file:
```
4
Lattice="-2.483 0.757 0.939 1.349 -1.854 1.537 4.098 7.174 5.059" Properties=species:S:1:pos:R:3 pbc="T T T"
Os 0.521 1.356 2.581
Cd 0.069 0.121 0.085
Cd 2.444 4.722 4.955
Li 1.979 3.465 2.443
```

=====

Entry 5:
LiCdOs after structural relaxation. Source: Alexandria via LeMat-Bulk, functional PBEsol.

DFT formation energy (meV/atom): 287
Total magnetic moment (μB per atom): 0.001
Crystal system: trigonal
Space-group type: No. 156

extended XYZ file:
```
3
Lattice="-0.178 1.872 1.998 -1.627 -2.209 0.041 4.898 -3.538 3.751" Properties=species:S:1:pos:R:3 pbc="T T T"
Li 2.525 -1.789 3.785
Os 0.565 -2.083 2.002
Cd 0.004 -0.003 0.003
```

=====

Entry 6:
LiCd2Os after structural relaxation. Source: Alexandria via LeMat-Bulk, functional PBEsol.

DFT formation energy (meV/atom): 304
Total magnetic moment (μB per atom): 0.001
Crystal system: tetragonal
Space-group type: No. 123

extended XYZ file:
```
4
Lattice="-1.710 -1.883 -1.203 1.263 -2.064 1.436 -5.517 0.997 6.285" Properties=species:S:1:pos:R:3 pbc="T T T"
Li -0.224 -1.974 0.117
Cd -4.127 0.745 4.701
Cd -1.390 0.251 1.584
Os -2.982 -1.475 3.259
```